Entry from Alexandria via LeMat-Bulk: a relaxed BaZr2Cu2 crystal (PBE-GGA). Values from VASP.

Results
**Total energy**: -5.224 eV/atom
**Relative energy among the computed polymorphs**: 0.00 eV/f.u.
**Crystal system**: tetragonal

Cell and atoms, written as Quantum ESPRESSO input:
```
&SYSTEM
  ibrav = 0, nat = 5, ntyp = 3
/
ATOMIC_SPECIES
Cu 63.55 Cu.upf
Ba 137.33 Ba.upf
Zr 91.22 Zr.upf
CELL_PARAMETERS angstrom
4.582 0.000 0.000
0.000 4.582 0.000
2.291 2.291 5.739
ATOMIC_POSITIONS angstrom
Cu 2.291 2.291 1.296
Cu 4.582 4.582 4.443
Ba 0.000 0.000 0.000
Zr 4.582 2.291 2.870
Zr 2.291 4.582 2.870
```